1.
BaTiSi2Se8 | the Alexandria database | PBE-GGA | relaxed; space group = P-3 (147); calculated volume = 25.8 Å³/atom; uncorrected formation energy = -0.694 eV/atom
1.0
6.3294 0.0000 0.0000
-3.1647 5.4814 0.0000
0.0000 0.0000 8.9111
Ba Ti Si Se
1 1 2 8
Direct
0.0000 0.0000 0.0000 Ba
0.0000 0.0000 0.5000 Ti
0.6667 0.3333 0.2635 Si
0.3333 0.6667 0.7365 Si
0.3333 0.6667 0.9920 Se
0.3179 0.3398 0.3337 Se
0.6602 0.9781 0.3337 Se
0.6667 0.3333 0.0080 Se
0.3398 0.0219 0.6663 Se
0.6821 0.6602 0.6663 Se
0.9781 0.3179 0.6663 Se
0.0219 0.6821 0.3337 Se

2.
EuAg2 | the Alexandria database | PBE-GGA | relaxed; space group = Fd-3m (227); calculated volume = 23.6 Å³/atom; E_form = -0.7 eV per formula unit
1.0
5.8539 0.0000 0.0000
2.9270 5.0696 0.0000
2.9270 1.6899 4.7797
Eu Ag
2 4
Direct
0.0000 0.0000 0.0000 Eu
0.2500 0.2500 0.2500 Eu
0.1250 0.6250 0.6250 Ag
0.6250 0.1250 0.6250 Ag
0.6250 0.6250 0.6250 Ag
0.6250 0.6250 0.1250 Ag

Number 1: total magnetization 0.0 μB per formula unit. Number 2: total magnetization 7.7 μB per formula unit.